Record 1
Density functional theory data (GGA-PBEsol) for a relaxed structure of NaLi2Hf2.

Computed properties:
For the formation energy, the calculation gives 568 meV per atom. As for the space group: No. 139.

Unit cell a=7.8578 b=7.8578 c=7.8578 alpha=150.60 beta=150.60 gamma=42.06
Closest atoms and distances in Å follow each position.
Atoms (fractional coordinates):
Na 0.0000 0.0000 0.0000  8 Li 3.16
Li 0.4029 0.4029 0.0000  1 Li 2.85, 4 Hf 3.00, 4 Na 3.16
Li 0.5971 0.5971 0.0000  1 Li 2.85, 4 Hf 3.00, 4 Na 3.16
Hf 0.2500 0.7500 0.5000  4 Hf 2.82, 4 Li 3.00
Hf 0.7500 0.2500 0.5000  4 Hf 2.82, 4 Li 3.00

Record 2
Density functional theory data (GGA-PBEsol) for a relaxed structure of NaLi3Hf.

Computed properties:
For the formation energy, the calculation gives 871 meV per atom. As for the space group: No. 221.

Unit cell a=4.6356 b=4.6356 c=4.6356 alpha=90.00 beta=90.00 gamma=90.00
Closest atoms and distances in Å follow each position.
Atoms (fractional coordinates):
Na 0.0000 0.0000 0.0000  6 Li 2.32
Li 0.0000 0.0000 0.5000  2 Na 2.32
Li 0.0000 0.5000 0.0000  2 Na 2.32
Li 0.5000 0.0000 0.0000  2 Na 2.32
Hf 0.5000 0.5000 0.5000  12 Li 3.28

Record 3
Density functional theory data (GGA-PBEsol) for a relaxed structure of LiHf2Nb.

Computed properties:
For the formation energy, the calculation gives 195 meV per atom. As for the space group: No. 225.

Unit cell a=4.7007 b=4.7007 c=4.7007 alpha=60.00 beta=60.00 gamma=60.00
Closest atoms and distances in Å follow each position.
Atoms (fractional coordinates):
Li 0.0000 0.0000 0.0000  8 Hf 2.88
Hf 0.2500 0.2500 0.2500  4 Nb 2.88, 4 Li 2.88
Hf 0.7500 0.7500 0.7500  4 Nb 2.88, 4 Li 2.88
Nb 0.5000 0.5000 0.5000  8 Hf 2.88

Record 4
Density functional theory data (GGA-PBEsol) for a relaxed structure of Li2Hf2Ni.

Computed properties:
For the formation energy, the calculation gives 254 meV per atom. As for the space group: No. 139.

Unit cell a=8.8881 b=8.8881 c=8.8881 alpha=159.88 beta=159.88 gamma=28.60
Closest atoms and distances in Å follow each position.
Atoms (fractional coordinates):
Li 0.2500 0.7500 0.5000  4 Li 2.20
Li 0.7500 0.2500 0.5000  4 Li 2.20
Hf 0.0916 0.0916 0.0000  4 Ni 2.70
Hf 0.9084 0.9084 0.0000  4 Ni 2.70
Ni 0.5000 0.5000 0.0000  8 Hf 2.70

Record 5
Density functional theory data (GGA-PBEsol) for a relaxed structure of Li6Hf2O7.

Computed properties:
The value obtained for the uncorrected formation energy is -2.675 eV per atom. As for the space group: No. 15.

Unit cell a=5.9501 b=5.9501 c=10.0636 alpha=98.97 beta=98.97 gamma=59.65
Closest atoms and distances in Å follow each position.
Atoms (fractional coordinates):
Li 0.0763 0.3367 0.8936  4 O 1.98-2.12
Li 0.0816 0.7937 0.9121  3 O 1.93-2.06
Li 0.2063 0.9184 0.5879  3 O 1.93-2.06
Li 0.3346 0.5331 0.3965  4 O 1.97-2.16
Li 0.3367 0.0763 0.3936  4 O 1.98-2.12
Li 0.4669 0.6654 0.1035  4 O 1.97-2.16
Li 0.5331 0.3346 0.8965  4 O 1.97-2.16
Li 0.6633 0.9237 0.6064  4 O 1.98-2.12
Li 0.6654 0.4669 0.6035  4 O 1.97-2.16
Li 0.7937 0.0816 0.4121  3 O 1.93-2.06
Li 0.9184 0.2063 0.0879  3 O 1.93-2.06
Li 0.9237 0.6633 0.1064  4 O 1.98-2.12
Hf 0.1946 0.4381 0.6346  6 O 2.01-2.13
Hf 0.4381 0.1946 0.1346  6 O 2.01-2.13
Hf 0.5619 0.8054 0.8654  6 O 2.01-2.13
Hf 0.8054 0.5619 0.3654  6 O 2.01-2.13
O 0.0003 0.2660 0.5018  4 Li 2.05-2.12, 2 Hf 2.11-2.13
O 0.9997 0.7340 0.4982  4 Li 2.05-2.12, 2 Hf 2.11-2.13
O 0.1357 0.3647 0.2540  2 Hf 2.04-2.11, 3 Li 2.12-2.22
O 0.2558 0.5010 0.0216  5 Li 1.93-2.00, 1 Hf 2.01
O 0.2660 0.0003 0.0018  4 Li 2.05-2.12, 2 Hf 2.11-2.13
O 0.3496 0.6504 0.7500  2 Hf 2.04, 4 Li 2.22-2.28
O 0.3647 0.1357 0.7540  2 Hf 2.04-2.11, 3 Li 2.12-2.22
O 0.4990 0.7442 0.4784  5 Li 1.93-2.00, 1 Hf 2.01
O 0.5010 0.2558 0.5216  5 Li 1.93-2.00, 1 Hf 2.01
O 0.6353 0.8643 0.2460  2 Hf 2.04-2.11, 3 Li 2.12-2.22
O 0.6504 0.3496 0.2500  2 Hf 2.04, 4 Li 2.22-2.28
O 0.7340 0.9997 0.9982  4 Li 2.05-2.12, 2 Hf 2.11-2.13
O 0.7442 0.4990 0.9784  5 Li 1.93-2.00, 1 Hf 2.01
O 0.8643 0.6353 0.7460  2 Hf 2.04-2.11, 3 Li 2.12-2.22

Record 6
Density functional theory data (GGA-PBEsol) for a relaxed structure of Li2Hf2O5.

Computed properties:
The value obtained for the uncorrected formation energy is -3.018 eV per atom. As for the space group: No. 15. The calculation puts the energy above the most stable polymorph in this dataset at 0.000 eV per atom.

Unit cell a=5.5377 b=5.5377 c=7.4678 alpha=109.39 beta=109.39 gamma=70.91
Closest atoms and distances in Å follow each position.
Atoms (fractional coordinates):
Li 0.1825 0.7872 0.5395  4 O 1.98-2.10
Li 0.2128 0.8175 0.9605  4 O 1.98-2.10
Li 0.7872 0.1825 0.0395  4 O 1.98-2.10
Li 0.8175 0.2128 0.4605  4 O 1.98-2.10
Hf 0.2222 0.2814 0.8798  6 O 2.01-2.13
Hf 0.2814 0.2222 0.3798  6 O 2.01-2.13
Hf 0.7186 0.7778 0.6202  6 O 2.01-2.13
Hf 0.7778 0.7186 0.1202  6 O 2.01-2.13
O 0.0000 0.5000 0.5000  2 Hf 2.01, 2 Li 2.04
O 0.0283 0.9717 0.2500  2 Hf 2.08, 2 Li 2.10
O 0.0775 0.3671 0.1307  1 Li 1.99, 3 Hf 2.09-2.13
O 0.3671 0.0775 0.6307  1 Li 1.99, 3 Hf 2.09-2.13
O 0.5000 0.0000 0.0000  2 Hf 2.01, 2 Li 2.04
O 0.5000 0.5000 0.0000  2 Li 1.98, 2 Hf 2.05
O 0.5000 0.5000 0.5000  2 Li 1.98, 2 Hf 2.05
O 0.6329 0.9225 0.3693  1 Li 1.99, 3 Hf 2.09-2.13
O 0.9225 0.6329 0.8693  1 Li 1.99, 3 Hf 2.09-2.13
O 0.9717 0.0283 0.7500  2 Hf 2.08, 2 Li 2.10

Record 7
Density functional theory data (GGA-PBEsol) for a relaxed structure of Li2HfO3.

Computed properties:
The value obtained for the uncorrected formation energy is -2.849 eV per atom. As for the space group: No. 65.

Unit cell a=5.1778 b=5.1778 c=3.1706 alpha=90.00 beta=90.00 gamma=132.73
Closest atoms and distances in Å follow each position.
Atoms (fractional coordinates):
Li 0.1561 0.8439 0.0000  3 O 1.92-2.08
Li 0.8439 0.1561 0.0000  3 O 1.92-2.08
Hf 0.5000 0.5000 0.5000  6 O 2.08
O 0.0000 0.0000 0.5000  2 Hf 2.08, 4 Li 2.17
O 0.3587 0.6413 0.0000  3 Li 1.92-2.08, 2 Hf 2.08
O 0.6413 0.3587 0.0000  3 Li 1.92-2.08, 2 Hf 2.08

Record 8
Density functional theory data (GGA-PBEsol) for a relaxed structure of Li2HfO3.

Computed properties:
The value obtained for the uncorrected formation energy is -2.857 eV per atom. As for the space group: No. 15.

Unit cell a=5.1975 b=5.1975 c=5.3139 alpha=100.99 beta=100.99 gamma=118.54
Closest atoms and distances in Å follow each position.
Atoms (fractional coordinates):
Li 0.0763 0.9237 0.7500  4 O 2.04-2.15
Li 0.2421 0.7579 0.2500  6 O 2.13-2.20
Li 0.7579 0.2421 0.7500  6 O 2.13-2.20
Li 0.9237 0.0763 0.2500  4 O 2.04-2.15
Hf 0.4088 0.5912 0.7500  6 O 2.06-2.09
Hf 0.5912 0.4088 0.2500  6 O 2.06-2.09
O 0.0000 0.5000 0.5000  2 Hf 2.06, 4 Li 2.15-2.20
O 0.1942 0.3455 0.9886  3 Li 2.04-2.19, 2 Hf 2.07-2.09
O 0.3455 0.1942 0.4886  3 Li 2.04-2.19, 2 Hf 2.07-2.09
O 0.5000 0.0000 0.0000  2 Hf 2.06, 4 Li 2.15-2.20
O 0.6545 0.8058 0.5114  3 Li 2.04-2.19, 2 Hf 2.07-2.09
O 0.8058 0.6545 0.0114  3 Li 2.04-2.19, 2 Hf 2.07-2.09

Result set for Fermi-level density of states: 0.745 1.243 1.087 1.181 0.000 0.000 0.000 0.000 states/eV per atom, one per record in the order listed.